Rb2MgFeF6 after structural relaxation, computed with PBE with a Hubbard U.

Lattice parameters (Å, degrees): 5.889 5.889 5.918 60.17 60.17 90.00
Fractional positions:
Mg1 0.500 0.500 0.000
Fe1 0.000 0.000 0.000
Rb1 0.750 0.250 0.500
Rb2 0.250 0.750 0.500
F1 0.257 0.257 0.485
F2 0.743 0.743 0.515
F3 0.254 0.254 0.000
F4 0.746 0.746 0.000
F5 0.746 0.254 0.000
F6 0.254 0.746 0.000

Results
Total DFT energy (no corrections)   -4.868 eV per atom
Crystal system   tetragonal
Density of states at the Fermi level   1.344 states/eV/atom